Compound: Pm5Tm3S8
Source: Alexandria via LeMat-Bulk
Functional: GGA-PBE
Structure: relaxed

The total energy is -6.380 eV per atom. Its magnetic moment is 0.00 μB per formula unit. Its symmetry is R-3m, No. 166.

Cell lengths 7.9768, 7.9768, 7.9768 Å; angles 59.22, 59.22, 59.22 degrees
Closest atoms and distances in Å follow each position.
Atoms (fractional coordinates):
Pm1 0.0000 0.0000 0.0000  6 S 2.81
Pm2 0.0000 0.5000 0.5000  6 S 2.88
Pm3 0.5000 0.0000 0.5000  6 S 2.88
Pm4 0.5000 0.5000 0.0000  6 S 2.88
Pm5 0.5000 0.5000 0.5000  6 S 2.80
Tm1 0.0000 0.0000 0.5000  6 S 2.73
Tm2 0.0000 0.5000 0.0000  6 S 2.73
Tm3 0.5000 0.0000 0.0000  6 S 2.73
S1 0.2368 0.7498 0.7498  2 Tm 2.73, 4 Pm 2.80-2.88
S2 0.2436 0.2436 0.2436  3 Tm 2.73, 3 Pm 2.88
S3 0.2502 0.2502 0.7632  2 Tm 2.73, 4 Pm 2.80-2.88
S4 0.2502 0.7632 0.2502  2 Tm 2.73, 4 Pm 2.80-2.88
S5 0.7498 0.2368 0.7498  2 Tm 2.73, 4 Pm 2.80-2.88
S6 0.7498 0.7498 0.2368  2 Tm 2.73, 4 Pm 2.80-2.88
S7 0.7564 0.7564 0.7564  3 Tm 2.73, 3 Pm 2.88
S8 0.7632 0.2502 0.2502  2 Tm 2.73, 4 Pm 2.80-2.88